[1]
First-principles (PBE-GGA) data for a geometry-optimized YFeSbI2 structure, as listed in Alexandria.

Geometry as POSCAR:
```
YFeSbI2
1.0
5.8739 0.0000 0.0000
0.0000 5.8739 0.0000
0.0000 0.0000 6.1591
I Sb Y Fe
2 1 1 1
direct
0.0000 0.5000 0.0000
0.5000 0.0000 0.0000
0.0000 0.0000 0.5000
0.0000 0.0000 0.0000
0.5000 0.5000 0.5000
```

Calculated values
ρ: 4.1 g cm⁻³
raw formation energy: 0.331 eV/atom
energy relative to the lowest polymorph listed for this composition: 0.1516 eV per atom

[2]
First-principles (PBE-GGA) data for a geometry-optimized Hg3Cl2O2 structure, as listed in Alexandria.

Geometry as POSCAR:
```
Hg3Cl2O2
1.0
-0.4412 -6.0981 -3.6061
4.0481 -2.7919 4.2259
-3.2109 -2.9702 5.4157
Cl Hg O
4 6 4
direct
0.3751 0.7798 0.9603
0.8751 0.2202 0.5397
0.6249 0.2202 0.0397
0.1249 0.7798 0.4603
0.0000 0.0000 0.0000
0.5000 0.0000 0.5000
0.6367 0.5773 0.2624
0.1367 0.4227 0.2376
0.3633 0.4227 0.7376
0.8633 0.5773 0.7624
0.8963 0.6749 0.0607
0.3963 0.3251 0.4393
0.1037 0.3251 0.9393
0.6037 0.6749 0.5607
```

Calculated values
ρ: 8.0 g cm⁻³
raw formation energy: -0.427 eV/atom

[3]
First-principles (PBE-GGA) data for a geometry-optimized MnZn2Pb structure, as listed in Alexandria.

Geometry as POSCAR:
```
MnZn2Pb
1.0
3.1466 0.0000 0.0000
0.0000 3.1084 0.4978
0.0000 1.8279 8.0892
Mn Pb Zn
1 1 2
direct
0.5000 0.2500 0.2500
0.5000 0.7500 0.7500
0.0000 0.9325 0.0634
0.0000 0.5675 0.4366
```

Calculated values
ρ: 8.6 g cm⁻³
formation energy: 0.22 eV/atom

[4]
First-principles (PBE-GGA) data for a geometry-optimized AcTcP2 structure, as listed in Alexandria.

Geometry as POSCAR:
```
AcTcP2
1.0
-1.9300 -2.6174 -0.1272
1.4860 -0.9630 -2.7306
4.6490 -3.6129 3.8043
P Ac Tc
2 1 1
direct
0.0000 0.0000 0.8130
0.0000 0.0000 0.1870
0.5000 0.5000 0.5000
0.5000 0.5000 0.0000
```

Calculated values
ρ: 8.7 g cm⁻³
formation energy: -0.28 eV/atom
energy relative to the lowest polymorph listed for this composition: 0.5318 eV per atom

[5]
First-principles (PBE-GGA) data for a geometry-optimized Ge2PdW structure, as listed in Alexandria.

Geometry as POSCAR:
```
Ge2PdW
1.0
3.5163 -0.8973 2.5635
-0.4164 -2.7631 3.4544
1.8787 -4.0241 -0.1350
Ge Pd W
2 1 1
direct
0.2500 0.2500 0.2500
0.7500 0.7500 0.7500
0.0000 0.0000 0.0000
0.5000 0.5000 0.5000
```

Calculated values
ρ: 11.7 g cm⁻³
formation energy: 0.16 eV/atom
energy relative to the lowest polymorph listed for this composition: 0.0000 eV per atom

[6]
First-principles (PBE-GGA) data for a geometry-optimized LaCeTmPa structure, as listed in Alexandria.

Geometry as POSCAR:
```
LaCeTmPa
1.0
5.5488 0.0000 0.0000
2.7744 4.8054 0.0000
2.7744 1.6018 4.5306
Pa Tm Ce La
1 1 1 1
direct
0.5000 0.5000 0.5000
0.0000 0.0000 0.0000
0.7500 0.7500 0.7500
0.2500 0.2500 0.2500
```

Calculated values
ρ: 9.3 g cm⁻³
formation energy: 0.39 eV/atom

[7]
First-principles (PBE-GGA) data for a geometry-optimized PW structure, as listed in Alexandria.

Geometry as POSCAR:
```
PW
1.0
-2.0021 2.1375 -0.6784
0.3667 -0.8642 2.8559
5.9624 5.9091 1.0225
P W
2 2
direct
0.6667 0.3333 0.8384
0.3333 0.6667 0.1616
0.6667 0.3333 0.3678
0.3333 0.6667 0.6322
```

Calculated values
ρ: 10.8 g cm⁻³
formation energy: 0.21 eV/atom

[8]
First-principles (PBE-GGA) data for a geometry-optimized BaSnO3 structure, as listed in Alexandria.

Geometry as POSCAR:
```
BaSnO3
1.0
13.0580 0.0000 -0.2904
5.4678 4.9061 -3.0050
-5.4678 4.9061 3.0050
Ba O Sn
4 12 4
direct
0.7500 0.1373 0.6373
0.2500 0.8627 0.3627
0.7500 0.5852 0.0852
0.2500 0.4148 0.9148
0.3480 0.4351 0.3542
0.1520 0.8542 0.9351
0.6520 0.5649 0.6458
0.8480 0.1458 0.0649
0.0769 0.3080 0.1510
0.4231 0.6510 0.8080
0.9231 0.6920 0.8490
0.5769 0.3490 0.1920
0.3874 0.2678 0.7043
0.1126 0.2043 0.7678
0.6126 0.7322 0.2957
0.8874 0.7957 0.2322
0.1385 0.5080 0.2835
0.3615 0.7835 0.0080
0.8615 0.4920 0.7165
0.6385 0.2165 0.9920
```

Calculated values
ρ: 5.5 g cm⁻³
raw formation energy: -2.007 eV/atom

[9]
First-principles (PBE-GGA) data for a geometry-optimized TbGdSnIr structure, as listed in Alexandria.

Geometry as POSCAR:
```
TbGdSnIr
1.0
-4.1484 -1.0688 -2.8103
-2.0505 -4.6931 0.1415
-4.5212 -0.7522 2.2897
Gd Ir Tb Sn
1 1 1 1
direct
0.0000 0.0000 0.0000
0.2500 0.2500 0.2500
0.5000 0.5000 0.5000
0.7500 0.7500 0.7500
```

Calculated values
ρ: 11.0 g cm⁻³
formation energy: -0.59 eV/atom

[10]
First-principles (PBE-GGA) data for a geometry-optimized Sc3GeCl structure, as listed in Alexandria.

Geometry as POSCAR:
```
Sc3GeCl
1.0
4.7225 0.0000 0.0000
0.0000 4.7225 0.0000
0.0000 0.0000 4.7225
Sc Ge Cl
3 1 1
direct
0.0000 0.5000 0.0000
0.0000 0.0000 0.5000
0.5000 0.0000 0.0000
0.5000 0.5000 0.5000
0.0000 0.0000 0.0000
```

Calculated values
ρ: 3.8 g cm⁻³
raw formation energy: -0.371 eV/atom
energy relative to the lowest polymorph listed for this composition: 0.0000 eV per atom

[11]
First-principles (PBE-GGA) data for a geometry-optimized Nd2ZnIr structure, as listed in Alexandria.

Geometry as POSCAR:
```
Nd2ZnIr
1.0
-2.5471 -3.2921 -0.0233
1.5590 -3.8346 -0.4373
0.5348 -3.1116 9.3822
Zn Ir Nd
1 1 2
direct
0.0000 0.0000 0.0000
0.5000 0.5000 0.5000
0.1147 0.1147 0.6558
0.8853 0.8853 0.3442
```

Calculated values
ρ: 6.3 g cm⁻³
formation energy: -0.13 eV/atom
energy relative to the lowest polymorph listed for this composition: 0.4123 eV per atom

[12]
First-principles (PBE-GGA) data for a geometry-optimized Pr8GeAs3I4 structure, as listed in Alexandria.

Geometry as POSCAR:
```
Pr8GeAs3I4
1.0
-1.2464 -8.0676 -3.1302
5.3748 1.9793 -7.2417
3.2847 1.1160 8.0254
Pr Ge As I
8 1 3 4
direct
0.2317 0.6961 0.9647
0.2317 0.6961 0.4633
0.2684 0.3053 0.5368
0.7330 0.6961 0.9647
0.2670 0.3039 0.0353
0.7316 0.6947 0.4632
0.7683 0.3039 0.5367
0.7683 0.3039 0.0353
0.0000 0.5000 0.0000
0.5000 0.5000 0.0000
0.5000 0.5000 0.5000
0.0000 0.5000 0.5000
0.5000 0.0000 0.0000
0.5000 0.0000 0.5000
0.0000 0.0000 0.0000
0.0000 0.0000 0.5000
```

Calculated values
ρ: 6.3 g cm⁻³
raw formation energy: -1.246 eV/atom

[13]
First-principles (PBE-GGA) data for a geometry-optimized Ag2SnTe2 structure, as listed in Alexandria.

Geometry as POSCAR:
```
Ag2SnTe2
1.0
8.0506 0.0000 0.0000
0.0000 8.0506 0.0000
0.0000 0.0000 3.8800
Te Sn Ag
4 2 4
direct
0.1799 0.6799 0.5000
0.6799 0.8201 0.5000
0.8201 0.3201 0.5000
0.3201 0.1799 0.5000
0.0000 0.0000 0.0000
0.5000 0.5000 0.0000
0.3765 0.8765 0.0000
0.8765 0.6235 0.0000
0.6235 0.1235 0.0000
0.1235 0.3765 0.0000
```

Calculated values
ρ: 7.8 g cm⁻³
raw formation energy: 0.055 eV/atom
energy relative to the lowest polymorph listed for this composition: 0.1478 eV per atom

[14]
First-principles (PBE-GGA) data for a geometry-optimized Sm3Y6Ho2Th structure, as listed in Alexandria.

Geometry as POSCAR:
```
Sm3Y6Ho2Th
1.0
-3.4202 4.8764 1.7421
-2.1840 -5.7565 0.7775
6.7028 -0.1068 9.7670
Sm Y Ho Th
3 6 2 1
direct
0.1672 0.8328 0.5000
0.8328 0.1672 0.5000
0.5000 0.5000 0.5000
0.9171 0.5869 0.7527
0.7527 0.7527 0.2471
0.0829 0.4131 0.2473
0.5869 0.9171 0.7527
0.2473 0.2473 0.7529
0.4131 0.0829 0.2473
0.3332 0.6668 0.0000
0.6668 0.3332 0.0000
0.0000 0.0000 0.0000
```

Calculated values
ρ: 6.6 g cm⁻³
formation energy: 0.02 eV/atom

[15]
First-principles (PBE-GGA) data for a geometry-optimized Ba2AlCdSe structure, as listed in Alexandria.

Geometry as POSCAR:
```
Ba2AlCdSe
1.0
6.3856 0.0000 0.0000
0.0000 4.9240 0.0000
0.0000 0.0000 6.3856
Al Ba Se Cd
1 2 1 1
direct
0.0000 0.0000 0.0000
0.0000 0.0000 0.5000
0.5000 0.0000 0.0000
0.5000 0.5000 0.5000
0.0000 0.5000 0.0000
```

Calculated values
ρ: 4.1 g cm⁻³
raw formation energy: -0.380 eV/atom

[16]
First-principles (PBE-GGA) data for a geometry-optimized Re2OsC structure, as listed in Alexandria.

Geometry as POSCAR:
```
Re2OsC
1.0
5.0415 0.0000 0.0000
0.0000 5.0415 0.0000
2.5208 2.5208 5.1740
Re C Os
4 2 2
direct
0.5519 0.1250 0.2500
0.1981 0.6250 0.2500
0.3750 0.4481 0.7500
0.8750 0.8019 0.7500
0.5000 0.5000 0.0000
0.2500 0.7500 0.5000
0.0000 0.0000 0.0000
0.7500 0.2500 0.5000
```

Calculated values
ρ: 14.5 g cm⁻³
formation energy: 0.91 eV/atom

[17]
First-principles (PBE-GGA) data for a geometry-optimized La4MgSc structure, as listed in Alexandria.

Geometry as POSCAR:
```
La4MgSc
1.0
0.0000 4.6870 4.6870
4.6870 0.0000 4.6870
4.6870 4.6870 0.0000
La Mg Sc
4 1 1
direct
0.8766 0.3745 0.3745
0.3745 0.3745 0.8766
0.3745 0.8766 0.3745
0.3745 0.3745 0.3745
0.7500 0.7500 0.7500
0.0000 0.0000 0.0000
```

Calculated values
ρ: 5.0 g cm⁻³
formation energy: 0.32 eV/atom
energy relative to the lowest polymorph listed for this composition: 0.3182 eV per atom

[18]
First-principles (PBE-GGA) data for a geometry-optimized ScZnH2Pt structure, as listed in Alexandria.

Geometry as POSCAR:
```
ScZnH2Pt
1.0
-1.3451 -2.4836 2.3971
3.6494 0.9688 3.0517
-2.0395 2.6474 1.5985
Sc H Zn Pt
1 2 1 1
direct
0.5000 0.5000 0.5000
0.0000 0.0000 0.5000
0.5000 0.0000 0.0000
0.0000 0.5000 0.0000
0.0000 0.0000 0.0000
```

Calculated values
ρ: 7.7 g cm⁻³
energy relative to the lowest polymorph listed for this composition: 0.0000 eV per atom

[19]
First-principles (PBE-GGA) data for a geometry-optimized AsPb2O6 structure, as listed in Alexandria.

Geometry as POSCAR:
```
AsPb2O6
1.0
-3.6390 1.7582 0.4928
-2.2965 -4.7807 0.0976
3.5746 1.3249 4.8536
As Pb O
1 2 6
direct
0.0000 0.0000 0.0000
0.6654 0.6653 0.3307
0.3346 0.3347 0.6693
0.1560 0.4008 0.3120
0.8440 0.0888 0.6880
0.8440 0.5992 0.6880
0.5000 0.2319 0.0000
0.1560 0.9112 0.3120
0.5000 0.7681 0.0000
```

Calculated values
ρ: 8.7 g cm⁻³
raw formation energy: -0.610 eV/atom

[20]
First-principles (PBE-GGA) data for a geometry-optimized Mg2AlB structure, as listed in Alexandria.

Geometry as POSCAR:
```
Mg2AlB
1.0
-3.7395 -1.7609 1.7939
-2.6286 2.5204 2.6536
-4.0465 1.3428 -1.4581
Mg B Al
2 1 1
direct
0.2500 0.2500 0.2500
0.7500 0.7500 0.7500
0.0000 0.0000 0.0000
0.5000 0.5000 0.5000
```

Calculated values
ρ: 2.2 g cm⁻³
formation energy: 0.62 eV/atom
energy relative to the lowest polymorph listed for this composition: 0.5109 eV per atom

[21]
First-principles (PBE-GGA) data for a geometry-optimized BeTe2P structure, as listed in Alexandria.

Geometry as POSCAR:
```
BeTe2P
1.0
-1.0900 -1.3632 -5.4102
-5.1560 -1.8600 1.5074
-5.6247 4.4866 -2.9839
P Te Be
2 4 2
direct
0.0000 0.0000 0.0000
0.7500 0.2500 0.5000
0.5890 0.1250 0.2500
0.1610 0.6250 0.2500
0.3750 0.4110 0.7500
0.8750 0.8390 0.7500
0.5000 0.5000 0.0000
0.2500 0.7500 0.5000
```

Calculated values
ρ: 4.5 g cm⁻³
raw formation energy: 0.310 eV/atom
energy relative to the lowest polymorph listed for this composition: 0.2808 eV per atom

[22]
First-principles (PBE-GGA) data for a geometry-optimized Tb2CdReO8 structure, as listed in Alexandria.

Geometry as POSCAR:
```
Tb2CdReO8
1.0
4.9650 -0.1050 -0.0025
-0.0898 4.9648 -0.0048
0.0046 0.0080 7.0746
Tb Cd Re O
2 1 1 8
direct
0.4999 0.4999 0.7474
0.5001 0.5001 0.2526
0.0000 0.0000 0.5000
0.0000 0.0000 0.0000
0.1836 0.8158 0.1918
0.7219 0.7224 0.9999
0.8162 0.1839 0.1918
0.8164 0.1842 0.8082
0.2781 0.2776 0.0001
0.1838 0.8161 0.8082
0.6970 0.6972 0.5000
0.3030 0.3028 0.5000
```

Calculated values
ρ: 7.1 g cm⁻³
raw formation energy: -2.141 eV/atom

[23]
First-principles (PBE-GGA) data for a geometry-optimized OsRu structure, as listed in Alexandria.

Geometry as POSCAR:
```
OsRu
1.0
7.5368 0.0000 0.0000
0.0000 7.5368 0.0000
0.0000 0.0000 7.5368
Os Ru
8 8
direct
0.3421 0.3421 0.3421
0.3421 0.6579 0.6579
0.6579 0.3421 0.6579
0.6579 0.6579 0.3421
0.8421 0.8421 0.8421
0.8421 0.1579 0.1579
0.1579 0.8421 0.1579
0.1579 0.1579 0.8421
0.1612 0.1612 0.1612
0.1612 0.8388 0.8388
0.8388 0.1612 0.8388
0.8388 0.8388 0.1612
0.6612 0.6612 0.6612
0.6612 0.3388 0.3388
0.3388 0.6612 0.3388
0.3388 0.3388 0.6612
```

Calculated values
ρ: 9.0 g cm⁻³
formation energy: 1.64 eV/atom

[24]
First-principles (PBE-GGA) data for a geometry-optimized Dy8GeTe4As3 structure, as listed in Alexandria.

Geometry as POSCAR:
```
Dy8GeTe4As3
1.0
-3.1922 7.4467 -2.2828
1.8203 -1.7343 -8.2029
-4.6907 -5.4124 4.4227
Dy Ge Te As
8 1 4 3
direct
0.2382 0.7188 0.9806
0.2382 0.7188 0.4765
0.2606 0.2818 0.5212
0.7423 0.7188 0.9806
0.2577 0.2812 0.0194
0.7394 0.7182 0.4788
0.7618 0.2812 0.5235
0.7618 0.2812 0.0194
0.0000 0.5000 0.0000
0.5000 0.0000 0.0000
0.5000 0.0000 0.5000
0.0000 0.0000 0.0000
0.0000 0.0000 0.5000
0.5000 0.5000 0.0000
0.5000 0.5000 0.5000
0.0000 0.5000 0.5000
```

Calculated values
ρ: 8.1 g cm⁻³
raw formation energy: -1.428 eV/atom